A plane-wave DFT calculation with SCAN was carried out for a crystal of Tc2RhPb relaxed with PBEsol.

Lattice parameters (Å, degrees): 3.876 4.189 4.820 115.76 113.71 90.00
Atoms (fractional coordinates):
Pb: 0.496 0.496 0.991
Rh: 0.253 0.753 0.505
Tc: 0.016 0.016 0.032
Tc: 0.736 0.236 0.472

Its magnetic moment is 1.19 μB per formula unit. The density of states at the Fermi level is 2.65 states/eV per cell. Its space group is No. 44. The formation energy is 0.40 eV/atom. The value obtained for the uncorrected energy is -44.516 eV/atom.


A plane-wave DFT calculation with SCAN was carried out for a crystal of TcRh2Pb relaxed with PBEsol.

Lattice parameters (Å, degrees): 2.889 4.724 4.949 99.83 90.00 107.81
Atoms (fractional coordinates):
Pb: 0.750 0.500 0.234
Rh: 0.996 0.991 0.988
Rh: 0.247 0.493 0.727
Tc: 0.508 0.015 0.551

Its magnetic moment is 0.00 μB per formula unit. The density of states at the Fermi level is 2.96 states/eV per cell. Its space group is No. 8. The formation energy is 0.25 eV/atom. The value obtained for the uncorrected energy is -44.349 eV/atom.


A plane-wave DFT calculation with SCAN was carried out for a crystal of TcRh2Pb relaxed with PBEsol.

Lattice parameters (Å, degrees): 2.871 4.777 4.777 107.70 90.00 90.00
Atoms (fractional coordinates):
Pb: 0.500 0.500 0.500
Rh: 0.000 0.500 0.000
Rh: 0.000 0.000 0.500
Tc: 0.500 0.000 0.000

Its magnetic moment is 1.14 μB per formula unit. The density of states at the Fermi level is 2.95 states/eV per cell. Its space group is No. 65. The formation energy is 0.32 eV/atom. The value obtained for the uncorrected energy is -44.279 eV/atom.


A plane-wave DFT calculation with SCAN was carried out for a crystal of TeRhPb3 relaxed with PBEsol.

Lattice parameters (Å, degrees): 5.230 5.230 5.230 90.00 90.00 90.00
Atoms (fractional coordinates):
Pb: 0.000 0.500 0.000
Pb: 0.000 0.000 0.500
Pb: 0.500 0.000 0.000
Te: 0.500 0.500 0.500
Rh: 0.000 0.000 0.000

Its magnetic moment is 0.00 μB per formula unit. The density of states at the Fermi level is 2.00 states/eV per cell. Its space group is No. 221. The energy relative to the elements, uncorrected is -121 meV per atom. The value obtained for the uncorrected energy is -59.794 eV/atom.


A plane-wave DFT calculation with SCAN was carried out for a crystal of Ti3RhPb relaxed with PBEsol.

Lattice parameters (Å, degrees): 4.676 4.676 4.676 90.00 90.00 90.00
Atoms (fractional coordinates):
Pb: 0.500 0.500 0.500
Rh: 0.000 0.000 0.000
Ti: 0.000 0.500 0.000
Ti: 0.000 0.000 0.500
Ti: 0.500 0.000 0.000

Its magnetic moment is 0.00 μB per formula unit. The density of states at the Fermi level is 5.49 states/eV per cell. Its space group is No. 221. The formation energy is 0.02 eV/atom. The value obtained for the uncorrected energy is -31.507 eV/atom.


A plane-wave DFT calculation with SCAN was carried out for a crystal of TlRh2Pb relaxed with PBEsol.

Lattice parameters (Å, degrees): 3.648 3.648 5.642 90.00 90.00 90.00
Atoms (fractional coordinates):
Pb: 0.500 0.500 0.802
Rh: 0.000 0.000 0.964
Rh: 0.500 0.500 0.291
Tl: 0.000 0.000 0.443

Its magnetic moment is 0.00 μB per formula unit. The density of states at the Fermi level is 3.39 states/eV per cell. Its space group is No. 99. The formation energy is 0.24 eV/atom. The value obtained for the uncorrected energy is -53.683 eV/atom. The energy above the most stable polymorph in this dataset comes out at 121 meV/atom.


A plane-wave DFT calculation with SCAN was carried out for a crystal of TlRh2Pb relaxed with PBEsol.

Lattice parameters (Å, degrees): 3.209 4.533 5.342 100.36 107.48 90.00
Atoms (fractional coordinates):
Pb: 0.751 0.159 0.502
Rh: 0.017 0.094 0.034
Rh: 0.234 0.655 0.467
Tl: 0.499 0.591 0.997

Its magnetic moment is 0.00 μB per formula unit. The density of states at the Fermi level is 1.28 states/eV per cell. Its space group is No. 8. The formation energy is 0.12 eV/atom. The value obtained for the uncorrected energy is -53.805 eV/atom. The energy above the most stable polymorph in this dataset comes out at 0 meV/atom.


A plane-wave DFT calculation with SCAN was carried out for a crystal of TlRhPb3 relaxed with PBEsol.

Lattice parameters (Å, degrees): 5.242 5.242 5.242 90.00 90.00 90.00
Atoms (fractional coordinates):
Pb: 0.000 0.500 0.000
Pb: 0.000 0.000 0.500
Pb: 0.500 0.000 0.000
Tl: 0.500 0.500 0.500
Rh: 0.000 0.000 0.000

Its magnetic moment is 0.00 μB per formula unit. The density of states at the Fermi level is 2.25 states/eV per cell. Its space group is No. 221. The formation energy is 0.07 eV/atom. The value obtained for the uncorrected energy is -66.628 eV/atom.


A plane-wave DFT calculation with SCAN was carried out for a crystal of TlRhPb2 relaxed with PBEsol.

Lattice parameters (Å, degrees): 3.330 3.329 8.519 90.00 89.97 90.00
Atoms (fractional coordinates):
Pb: 0.001 0.000 0.805
Pb: 0.999 0.000 0.195
Tl: 0.500 0.500 0.500
Rh: 0.500 0.500 0.000

Its magnetic moment is 0.00 μB per formula unit. The density of states at the Fermi level is 3.14 states/eV per cell. Its space group is No. 123. The formation energy is 0.02 eV/atom. The value obtained for the uncorrected energy is -64.404 eV/atom.


A plane-wave DFT calculation with SCAN was carried out for a crystal of TlRhPb2 relaxed with PBEsol.

Lattice parameters (Å, degrees): 3.950 4.830 4.830 90.00 90.00 90.00
Atoms (fractional coordinates):
Pb: 0.000 0.000 0.500
Pb: 0.000 0.500 0.000
Rh: 0.500 0.500 0.500
Tl: 0.500 0.000 0.000

Its magnetic moment is 0.00 μB per formula unit. The density of states at the Fermi level is 2.31 states/eV per cell. Its space group is No. 123. The formation energy is 0.35 eV/atom. The value obtained for the uncorrected energy is -64.073 eV/atom.


A plane-wave DFT calculation with SCAN was carried out for a crystal of TlRh2Pb relaxed with PBEsol.

Lattice parameters (Å, degrees): 3.311 4.386 5.710 102.62 90.00 112.18
Atoms (fractional coordinates):
Pb: 0.500 0.000 0.000
Rh: 0.750 0.501 0.755
Rh: 0.250 0.499 0.245
Tl: 0.000 0.000 0.500

Its magnetic moment is 0.00 μB per formula unit. The density of states at the Fermi level is 1.61 states/eV per cell. Its space group is No. 12. The formation energy is 0.16 eV/atom. The value obtained for the uncorrected energy is -53.765 eV/atom. The energy above the most stable polymorph in this dataset comes out at 39 meV/atom.


A plane-wave DFT calculation with SCAN was carried out for a crystal of TlRh2Pb relaxed with PBEsol.

Lattice parameters (Å, degrees): 3.230 4.387 5.859 111.98 106.00 90.00
Atoms (fractional coordinates):
Pb: 0.733 0.233 0.466
Rh: 0.009 0.009 0.019
Rh: 0.256 0.756 0.512
Tl: 0.502 0.502 0.004

Its magnetic moment is 0.00 μB per formula unit. The density of states at the Fermi level is 1.60 states/eV per cell. Its space group is No. 44. The formation energy is 0.21 eV/atom. The value obtained for the uncorrected energy is -53.713 eV/atom. The energy above the most stable polymorph in this dataset comes out at 92 meV/atom.